The following is a DFT calculation (PBE with a Hubbard U) of a relaxed structure of Ba2BiWO6.

The structure in POSCAR format:
```
Ba2BiWO6
1.0
6.0773 0.0000 0.0000
0.0000 6.0773 0.0000
0.0000 0.0000 4.6425
Ba Bi W O
2 1 1 6
Cartesian
0.0000 3.0386 0.0000 Ba
3.0386 0.0000 0.0000 Ba
0.0000 0.0000 2.5957 Bi
3.0386 3.0386 2.4024 W
0.0000 0.0000 0.2281 O
1.6614 1.6614 2.8730 O
1.6614 4.4159 2.8730 O
3.0386 3.0386 0.5606 O
4.4159 1.6614 2.8730 O
4.4159 4.4159 2.8730 O
```

Summary:
E   -6.627 eV per atom
Offset from the most stable computed form   0 meV/atom
Density   7.4 g/cm3
Total magnetization   1.01 μB per cell